No. 1
This record from the Alexandria database describes a relaxed TiBeInPb2 crystal. The functional is PBE.

Lattice parameters (Å, degrees): 6.090 6.090 5.408 90.00 90.00 90.00
Atoms (fractional coordinates):
Ti  0.000  0.000  0.000
Be  0.000  0.000  0.500
In  0.500  0.500  0.500
Pb  0.000  0.500  0.000
Pb  0.500  0.000  0.000

## Properties
energy of formation = 951 meV per atom
energy above the most stable polymorph in this dataset = 46.3 kJ/mol of atoms
volume = 201 Å³ per cell

=====

No. 2
This record from the Alexandria database describes a relaxed HoTlCl6 crystal. The functional is PBE.

Lattice parameters (Å, degrees): 7.111 7.111 7.111 55.30 55.30 55.30
Atoms (fractional coordinates):
Ho  0.000  0.000  0.000
Tl  0.500  0.500  0.500
Cl  0.089  0.411  0.749
Cl  0.251  0.911  0.589
Cl  0.411  0.749  0.089
Cl  0.589  0.251  0.911
Cl  0.749  0.089  0.411
Cl  0.911  0.589  0.251

## Properties
energy relative to the elements, uncorrected = -1409.6 meV per atom
volume = 226 Å³ per cell

=====

No. 3
This record from the Alexandria database describes a relaxed CaSmEr4S8 crystal. The functional is PBE.

Lattice parameters (Å, degrees): 8.095 8.095 8.095 59.56 59.56 59.56
Atoms (fractional coordinates):
Ca  0.000  0.000  0.000
Sm  0.628  0.628  0.628
Er  0.120  0.628  0.628
Er  0.251  0.251  0.251
Er  0.628  0.120  0.628
Er  0.628  0.628  0.120
S  0.379  0.379  0.855
S  0.379  0.855  0.379
S  0.384  0.384  0.384
S  0.406  0.870  0.870
S  0.855  0.379  0.379
S  0.865  0.865  0.865
S  0.870  0.406  0.870
S  0.870  0.870  0.406

## Properties
energy relative to the elements, uncorrected = -1992.0 meV per atom
volume = 371 Å³ per cell

=====

- Among the records above, which one has the lowest volume?
  TiBeInPb2